# 1
## BaTl2GaF6 (GGA-PBE)

Data for a relaxed structure of BaTl2GaF6.

The structure in POSCAR format:
```
BaTl2GaF6
1.0
6.4487 0.0000 0.0000
0.0000 9.1911 0.0000
0.0000 0.0000 6.5445
Ba Tl Ga F
2 4 2 12
direct
0.2500 0.2500 0.2407
0.7500 0.7500 0.7593
0.2500 0.0030 0.7414
0.2500 0.4970 0.7414
0.7500 0.5030 0.2586
0.7500 0.9970 0.2586
0.2500 0.7500 0.2568
0.7500 0.2500 0.7432
0.0333 0.7500 0.0467
0.0344 0.7500 0.4706
0.2500 0.5362 0.2593
0.2500 0.9638 0.2593
0.4656 0.7500 0.4706
0.4667 0.7500 0.0467
0.5333 0.2500 0.9533
0.5344 0.2500 0.5294
0.7500 0.0362 0.7407
0.7500 0.4638 0.7407
0.9656 0.2500 0.5294
0.9667 0.2500 0.9533
```

Properties
Fermi-level density of states (states/eV/f.u.): 2.84
Energy relative to the elements, uncorrected (eV/atom): -2.43
V (Å³/f.u.): 193.9
Space-group type: No. 59

***

# 2
## LiCaTb2 (GGA-PBE)

Data for a relaxed structure of LiCaTb2.

The structure in POSCAR format:
```
LiCaTb2
1.0
3.6968 0.0000 0.0000
0.0000 3.6968 0.0000
0.0000 0.0000 9.0209
Li Ca Tb
1 1 2
direct
0.0000 0.0000 0.0000
0.0000 0.0000 0.5000
0.5000 0.5000 0.2003
0.5000 0.5000 0.7997
```

Properties
Energy of formation from the pure elements (eV/atom): 0.155
Fermi-level density of states (states/eV/f.u.): 6.32
V (Å³/f.u.): 123.3
Space-group type: No. 123
Polymorph energy (0 for the lowest one) (meV per atom): 0